Below is crystalline PrIn3Cu2 at its relaxed geometry, with properties calculated at the PBE-GGA level.

Cell lengths 8.5723, 8.5723, 8.5723 Å; angles 150.18, 121.37, 67.16 degrees
Last column: nearest neighbours and their distance in Å.
Positions (direct):
Pr 0.1301 0.1301 0.0000  6 Cu 3.14-3.34, 8 In 3.34-3.41
Pr 0.8699 0.8699 0.0000  6 Cu 3.14-3.34, 8 In 3.34-3.41
In 0.1375 0.3337 0.8037  3 Cu 2.72-2.78
In 0.3346 0.0000 0.3346  2 Cu 2.71, 1 In 2.78
In 0.4700 0.6663 0.8037  3 Cu 2.72-2.78
In 0.5300 0.3337 0.1963  3 Cu 2.72-2.78
In 0.6654 0.0000 0.6654  2 Cu 2.71, 1 In 2.78
In 0.8625 0.6663 0.1963  3 Cu 2.72-2.78
Cu 0.1466 0.5000 0.6466  1 Cu 2.46, 4 In 2.71-2.72
Cu 0.3054 0.8054 0.5000  6 In 2.78-3.11
Cu 0.6946 0.1946 0.5000  6 In 2.78-3.11
Cu 0.8534 0.5000 0.3534  1 Cu 2.46, 4 In 2.71-2.72

---

Below is crystalline Pr3In7Cu2 at its relaxed geometry, with properties calculated at the PBE-GGA level.

Cell lengths 4.6337, 4.5776, 14.4334 Å; angles 90.00, 99.08, 90.00 degrees
Last column: nearest neighbours and their distance in Å.
Positions (direct):
Pr 0.0000 0.0000 0.0000  12 In 3.26-3.40
Pr 0.3156 0.5000 0.6322  10 In 3.43-3.63, 4 Cu 3.55-3.59
Pr 0.6844 0.5000 0.3678  10 In 3.43-3.63, 4 Cu 3.55-3.59
In 0.0848 0.5000 0.1730  2 Cu 2.64
In 0.2223 0.0000 0.4438  1 Cu 2.55, 2 In 2.82
In 0.4156 0.0000 0.8260  2 Cu 2.65-2.66
In 0.5000 0.5000 0.0000  4 Pr 3.26, 8 In 3.37-3.38
In 0.5844 0.0000 0.1740  2 Cu 2.65-2.66
In 0.7777 0.0000 0.5562  1 Cu 2.55, 2 In 2.82
In 0.9152 0.5000 0.8270  2 Cu 2.64
Cu 0.1282 0.0000 0.2651  5 In 2.55-2.66
Cu 0.8718 0.0000 0.7349  5 In 2.55-2.66

---

Below is crystalline PrIn2Cu at its relaxed geometry, with properties calculated at the PBE-GGA level.

Cell lengths 10.3625, 10.3625, 4.1565 Å; angles 90.00, 90.00, 154.37 degrees
Last column: nearest neighbours and their distance in Å.
Positions (direct):
Pr 0.1381 0.8619 0.0000  4 Cu 3.29, 8 In 3.43-3.62
Pr 0.8619 0.1381 0.0000  4 Cu 3.29, 8 In 3.43-3.62
In 0.0000 0.0000 0.5000  4 Cu 2.85, 4 In 3.10
In 0.2891 0.7109 0.5000  1 Cu 2.57, 2 In 2.79
In 0.5000 0.5000 0.0000  4 Cu 2.68
In 0.7109 0.2891 0.5000  1 Cu 2.57, 2 In 2.79
Cu 0.4163 0.5837 0.5000  5 In 2.57-2.85
Cu 0.5837 0.4163 0.5000  5 In 2.57-2.85

---

Below is crystalline Pr4In5Cu2 at its relaxed geometry, with properties calculated at the PBE-GGA level.

Cell lengths 7.8263, 3.7895, 9.9100 Å; angles 90.00, 94.31, 90.00 degrees
Last column: nearest neighbours and their distance in Å.
Positions (direct):
Pr 0.1776 0.0000 0.3630  2 Cu 3.09, 6 In 3.36-3.42
Pr 0.2386 0.0000 0.9397  4 Cu 3.05-3.06, 6 In 3.38-3.41
Pr 0.7614 0.0000 0.0603  4 Cu 3.05-3.06, 6 In 3.38-3.41
Pr 0.8224 0.0000 0.6370  2 Cu 3.09, 6 In 3.36-3.42
In 0.1795 0.5000 0.6576  1 Cu 2.96, 2 In 3.05-3.21
In 0.4470 0.5000 0.1849  1 Cu 3.01, 2 In 3.12-3.21
In 0.5000 0.5000 0.5000  4 In 3.05-3.12, 4 Pr 3.36
In 0.5530 0.5000 0.8151  1 Cu 3.01, 2 In 3.12-3.21
In 0.8205 0.5000 0.3424  1 Cu 2.96, 2 In 3.05-3.21
Cu 0.0637 0.5000 0.1270  1 Cu 2.64
Cu 0.9363 0.5000 0.8730  1 Cu 2.64

---

What DOS(E_F) values result from the calculations? In sequence: 0.49 0.62 0.54 0.89 states/eV/atom.
What final energy values result from the calculations? In sequence: -3.755 -3.850 -3.935 -4.082 eV per atom.